## K2BaCeBr8 (PBE)

Data for a relaxed K2BaCeBr8 crystal.

## Properties
M_tot in μB per cell: 0.1
ΔE_f (raw) in eV per atom: -1.766
Space-group type: No. 10

```
data_K2BaCeBr8
_cell_length_a 7.335
_cell_length_b 7.486
_cell_length_c 9.639
_cell_angle_alpha 90.01
_cell_angle_beta 90.00
_cell_angle_gamma 92.39
_symmetry_space_group_name_H-M 'P 1'
_symmetry_Int_Tables_number 1
loop_
_symmetry_equiv_pos_as_xyz
'x,y,z'
loop_
_atom_site_label
_atom_site_type_symbol
_atom_site_fract_x
_atom_site_fract_y
_atom_site_fract_z
_atom_site_occupancy
Br1 Br 0.147 0.792 0.788 1
Br2 Br 0.689 0.775 0.000 1
Ce1 Ce 0.000 0.000 0.000 1
Br3 Br 0.663 0.735 0.500 1
Ba1 Ba 0.000 0.000 0.500 1
Br4 Br 0.337 0.265 0.500 1
K1 K 0.500 0.500 0.253 1
Br5 Br 0.853 0.208 0.212 1
Br6 Br 0.853 0.208 0.788 1
Br7 Br 0.147 0.792 0.212 1
Br8 Br 0.311 0.225 0.000 1
K2 K 0.500 0.500 0.747 1
```